(1)
The following is a GGA-PBE calculation of AlTl2CdSe4 after structural relaxation, from Alexandria via LeMat-Bulk.

Cell and atoms, written as extended XYZ:
```
8
Lattice="4.5875 -4.8691 0.0000 4.5875 4.8691 0.0000 -4.5035 0.0000 5.3690" Properties=species:S:1:pos:R:3 pbc="T T T"
Al 0.0000 0.0000 0.0000
Tl 4.5875 0.6872 0.0000
Tl 2.3358 -2.0813 2.6845
Cd 2.3358 2.5214 2.6845
Se 0.1245 1.0306 2.1874
Se -2.4823 -1.2855 5.1651
Se 4.5471 1.0306 3.1816
Se 7.1539 -1.2855 0.2039
```

Calculated total energy: -3.4377 eV per atom
Calculated volume: 29.98 Å³ per atom
Uncorrected formation energy: -0.5216 eV per atom
Space-group type: C2 (5)
DOS at the Fermi energy: 5.24 states/eV per cell

---

(2)
The following is a GGA-PBE calculation of NbVS after structural relaxation, from Alexandria via LeMat-Bulk.

Cell and atoms, written as extended XYZ:
```
6
Lattice="4.6360 -1.6248 0.0000 4.6360 1.6248 0.0000 -2.5590 0.0000 6.0181" Properties=species:S:1:pos:R:3 pbc="T T T"
Nb 0.4099 0.0000 1.7381
Nb 6.3032 0.0000 4.2800
V 3.2583 0.0000 0.3939
V 3.4548 0.0000 5.6242
S -0.3310 0.0000 4.1715
S 7.0441 0.0000 1.8466
```

Calculated total energy: -8.3743 eV per atom
Calculated volume: 15.11 Å³ per atom
Uncorrected formation energy: -0.6024 eV per atom
Space-group type: C2/m (12)
DOS at the Fermi energy: 4.69 states/eV per cell
Relative energy among the computed polymorphs: 0.0 meV/atom

---

(3)
The following is a GGA-PBE calculation of MgScSb2 after structural relaxation, from Alexandria via LeMat-Bulk.

Cell and atoms, written as extended XYZ:
```
8
Lattice="-3.9224 3.9224 3.3659 3.9224 -3.9224 3.3659 3.9224 3.9224 -3.3659" Properties=species:S:1:pos:R:3 pbc="T T T"
Mg 0.0000 0.0000 0.0000
Mg 0.0000 3.9224 1.6829
Sc 3.9224 0.0000 1.6829
Sc 0.0000 0.0000 3.3659
Sb 1.9612 1.9246 -0.8415
Sb 1.9978 -1.9612 4.2073
Sb 1.9612 1.9978 2.5244
Sb 1.9246 5.8835 0.8415
```

Calculated total energy: -4.4025 eV per atom
Calculated volume: 25.89 Å³ per atom
Uncorrected formation energy: -0.3598 eV per atom
Space-group type: I-42d (122)
DOS at the Fermi energy: 3.70 states/eV per cell

---

(4)
The following is a GGA-PBE calculation of Mg14CoSn after structural relaxation, from Alexandria via LeMat-Bulk.

Cell and atoms, written as extended XYZ:
```
16
Lattice="6.2856 0.0000 0.0000 -3.1428 5.4435 0.0000 0.0000 0.0000 10.0361" Properties=species:S:1:pos:R:3 pbc="T T T"
Mg 0.0000 0.0000 2.4753
Mg 0.0000 0.0000 7.5609
Mg -1.5189 2.7521 2.6616
Mg -1.5189 2.7521 7.3745
Mg 1.5457 0.8924 5.0181
Mg 1.5803 0.9124 0.0000
Mg 1.5189 2.7521 2.6616
Mg 1.5189 2.7521 7.3745
Mg 0.0000 5.3829 2.6616
Mg 0.0000 5.3829 7.3745
Mg 4.7054 0.9124 0.0000
Mg 3.1428 3.6188 0.0000
Mg 4.7399 0.8924 5.0181
Mg 3.1428 3.6587 5.0181
Co 0.0000 3.6290 5.0181
Sn 0.0000 3.6290 0.0000
```

Calculated total energy: -2.0593 eV per atom
Calculated volume: 21.46 Å³ per atom
Space-group type: P-6m2 (187)
DOS at the Fermi energy: 8.41 states/eV per cell
Relative energy among the computed polymorphs: 0.0 meV/atom

---

(5)
The following is a GGA-PBE calculation of LiNpZnO6 after structural relaxation, from Alexandria via LeMat-Bulk.

Cell and atoms, written as extended XYZ:
```
18
Lattice="5.1882 0.0000 0.0000 -2.5941 4.4931 0.0000 0.0000 0.0000 8.9645" Properties=species:S:1:pos:R:3 pbc="T T T"
Li 0.0000 2.9954 2.2411
Li 2.5941 1.4977 6.7234
Np 0.0000 2.9954 6.7234
Np 2.5941 1.4977 2.2411
Zn 0.0000 0.0000 0.0000
Zn 0.0000 0.0000 4.4823
O -0.8027 1.5508 5.6429
O -1.6524 3.0225 7.8039
O 0.8027 1.5508 7.8039
O -0.8497 4.4128 5.6429
O 1.7444 0.0803 1.1607
O 0.9417 1.4705 3.3216
O 1.6524 3.0225 5.6429
O 0.8497 4.4128 7.8039
O 3.4438 0.0803 3.3216
O 1.7914 2.9423 1.1607
O 4.2465 1.4705 1.1607
O 3.3968 2.9423 3.3216
```

Calculated total energy: -6.7655 eV per atom
Calculated volume: 11.61 Å³ per atom
Uncorrected formation energy: -1.6680 eV per atom
Space-group type: P-31c (163)
DOS at the Fermi energy: 14.60 states/eV per cell

---

(6)
The following is a GGA-PBE calculation of AsPbCl after structural relaxation, from Alexandria via LeMat-Bulk.

Cell and atoms, written as extended XYZ:
```
3
Lattice="4.9935 0.0000 0.0000 -2.4968 4.3245 0.0000 0.0000 0.0000 3.3815" Properties=species:S:1:pos:R:3 pbc="T T T"
As 0.0000 0.0000 0.0000
Pb 0.0000 2.8830 2.6557
Cl 2.4968 1.4415 1.1995
```

Calculated total energy: -3.3947 eV per atom
Calculated volume: 24.34 Å³ per atom
Uncorrected formation energy: 0.0068 eV per atom
Space-group type: P3m1 (156)
DOS at the Fermi energy: 2.33 states/eV per cell
Relative energy among the computed polymorphs: 396.7 meV/atom